# 1
Computed, not measured: an optimized crystal structure of RbTl5Pb4 at the PBE-GGA level of DFT.

Cell: 3.4761 3.4761 28.6940 Å, 90.00 90.00 90.00°
Sites, in units of the cell vectors:
1 Tl 0.5000 0.5000 0.6132
2 Tl 0.5000 0.5000 0.3868
3 Tl 0.5000 0.5000 0.1033
4 Tl 0.5000 0.5000 0.5000
5 Tl 0.5000 0.5000 0.8967
6 Pb 0.0000 0.0000 0.3002
7 Pb 0.0000 0.0000 0.1852
8 Pb 0.0000 0.0000 0.8148
9 Pb 0.0000 0.0000 0.6998
10 Rb 0.0000 0.0000 0.0000

Computed properties:
Density of states at the Fermi level, states/eV per atom: 0.53
Space group: P4/mmm (123)
Formation enthalpy at 0 K, eV per atom: 0.05

=====

# 2
Computed, not measured: an optimized crystal structure of SmDy2Ho2Er at the PBE-GGA level of DFT.

Cell: 3.4882 16.0746 6.9186 Å, 90.00 90.00 90.00°
Sites, in units of the cell vectors:
1 Dy 0.5000 0.8433 0.7506
2 Dy 0.5000 0.1567 0.2494
3 Dy 0.0000 0.3433 0.7494
4 Dy 0.0000 0.6567 0.2506
5 Ho 0.0000 0.3437 0.2502
6 Ho 0.0000 0.6563 0.7498
7 Ho 0.5000 0.1563 0.7502
8 Ho 0.5000 0.8437 0.2498
9 Er 0.5000 0.5000 0.5000
10 Er 0.0000 0.0000 0.0000
11 Sm 0.0000 0.0000 0.5000
12 Sm 0.5000 0.5000 0.0000

Computed properties:
Density of states at the Fermi level, states/eV per atom: 1.59
Space group: Pnnm (58)
Formation enthalpy at 0 K, eV per atom: 0.16

=====

# 3
Computed, not measured: an optimized crystal structure of LiNi2Pd2 at the PBE-GGA level of DFT.

Cell: 3.9024 3.9024 5.9356 Å, 70.81 70.81 90.00°
Sites, in units of the cell vectors:
1 Pd 0.7500 0.2500 0.5000
2 Pd 0.2500 0.7500 0.5000
3 Ni 0.3974 0.3974 0.2052
4 Ni 0.6026 0.6026 0.7948
5 Li 0.0000 0.0000 0.0000

Computed properties:
Density of states at the Fermi level, states/eV per atom: 1.41
Space group: I4/mmm (139)
Formation enthalpy at 0 K, eV per atom: 0.23

=====

# 4
Computed, not measured: an optimized crystal structure of AlHgSe at the PBE-GGA level of DFT.

Cell: 3.7746 3.7746 5.8560 Å, 90.00 90.00 120.00°
Sites, in units of the cell vectors:
1 Al 0.0000 0.0000 0.9682
2 Se 0.3333 0.6667 0.7511
3 Hg 0.6667 0.3333 0.2807

Computed properties:
Density of states at the Fermi level, states/eV per atom: 0.13
Space group: P3m1 (156)

=====

Summary of energy in eV per atom
-2.711; -4.445; -4.539; -2.864
(order as listed above)